1.
Compound: TbZnB5O10
Source: Alexandria
Functional: GGA-PBE
Structure: optimized geometry

abc: 8.6586 7.6828 12.4253
angles: 90.00 130.73 90.00
Space group P2_1/c (No. 14)
Unique sites:
1 Tb 0.0549 0.1835 0.2411
2 Zn 0.4811 0.5905 0.8731
3 B 0.0857 0.6753 0.6030
4 B 0.1501 0.6029 0.9910
5 B 0.2796 0.0307 0.0572
6 B 0.3369 0.5736 0.2543
7 B 0.4776 0.1867 0.9123
8 O 0.0249 0.7326 0.9769
9 O 0.0952 0.1076 0.9212
10 O 0.1147 0.5554 0.8720
11 O 0.1874 0.7029 0.2248
12 O 0.2357 0.5316 0.6502
13 O 0.3040 0.5320 0.1222
14 O 0.3126 0.0915 0.8018
15 O 0.3278 0.6249 0.5092
16 O 0.4223 0.1538 0.4301
17 O 0.4571 0.1472 0.1394

Results
Its total magnetization is 0.00 μB/f.u.

***

2.
Compound: Tc3BO
Source: Alexandria
Functional: GGA-PBE
Structure: optimized geometry

abc: 3.9653 3.9653 3.9653
angles: 90.00 90.00 90.00
Space group Pm-3m (No. 221)
Unique sites:
1 Tc 0.0000 0.0000 0.5000
2 B 0.5000 0.5000 0.5000
3 O 0.0000 0.0000 0.0000

Results
The value obtained for the relative energy among the computed polymorphs is 0 meV per atom. Its total magnetization is 0.00 μB/f.u.

***

Which raw formation energy belongs to each record? In order, -2.52 0.65 eV/atom.